(1)
Below is a PBEsol-optimized structure of K2InHg2, with properties calculated at the SCAN level.

Unit cell a=7.661 b=7.661 c=5.439 alpha=90.00 beta=90.00 gamma=90.00
Space group P4/mbm (No. 127)
Asymmetric unit:
K (0.175, 0.325, 0.000) x4
In (0.000, 0.000, 0.500) x2
Hg (0.137, 0.637, 0.500) x4

Values from the calculation:
Density of states at the Fermi level: 6.62 states/eV per cell
Energy of formation from the pure elements: -1.3 eV/f.u.
Calculated volume: 319 Å³ per cell

---

(2)
Below is a PBEsol-optimized structure of KInHg4, with properties calculated at the SCAN level.

Unit cell a=8.557 b=8.557 c=8.557 alpha=90.00 beta=90.00 gamma=90.00
Space group F-43m (No. 216)
Asymmetric unit:
K (0.000, 0.000, 0.000) x4
In (0.250, 0.250, 0.250) x4
Hg (0.125, 0.125, 0.625) x16

Values from the calculation:
Density of states at the Fermi level: 11.48 states/eV per cell
Energy of formation from the pure elements: -0.6 eV/f.u.
Calculated volume: 627 Å³ per cell

---

(3)
Below is a PBEsol-optimized structure of K2InHg, with properties calculated at the SCAN level.

Unit cell a=4.119 b=4.785 c=6.899 alpha=90.00 beta=90.00 gamma=90.00
Space group Pmmm (No. 47)
Asymmetric unit:
K (0.000, 0.000, 0.246) x2
In (0.500, 0.500, 0.500) x1
Hg (0.500, 0.500, 0.000) x1

Values from the calculation:
Energy above the most stable polymorph in this dataset: 108 meV per atom
Density of states at the Fermi level: 2.28 states/eV per cell
Energy of formation from the pure elements: -0.5 eV/f.u.
Calculated volume: 136 Å³ per cell

---

(4)
Below is a PBEsol-optimized structure of KInHg2, with properties calculated at the SCAN level.

Unit cell a=3.406 b=4.336 c=7.508 alpha=90.00 beta=94.92 gamma=90.00
Space group P2/m (No. 10)
Asymmetric unit:
K (0.000, 0.000, 0.000) x1
In (0.000, 0.000, 0.500) x1
Hg (0.450, 0.500, 0.714) x2

Values from the calculation:
Density of states at the Fermi level: 1.57 states/eV per cell
Energy of formation from the pure elements: -0.8 eV/f.u.
Calculated volume: 110 Å³ per cell

---

(5)
Below is a PBEsol-optimized structure of KIn2Hg, with properties calculated at the SCAN level.

Unit cell a=5.069 b=5.260 c=8.513 alpha=90.00 beta=90.00 gamma=90.00
Space group Cmm2 (No. 35)
Asymmetric unit:
K (0.000, 0.000, 0.000) x2
In (0.000, 0.000, 0.480) x2
In (0.000, 0.500, 0.693) x2
Hg (0.000, 0.500, 0.272) x2

Values from the calculation:
Density of states at the Fermi level: 3.36 states/eV per cell
Energy of formation from the pure elements: -0.6 eV/f.u.
Calculated volume: 227 Å³ per cell

---

(6)
Below is a PBEsol-optimized structure of KInHg, with properties calculated at the SCAN level.

Unit cell a=3.911 b=3.911 c=12.091 alpha=90.00 beta=90.00 gamma=90.00
Space group I4mm (No. 107)
Asymmetric unit:
K (0.000, 0.000, 0.000) x2
In (0.000, 0.000, 0.293) x2
Hg (0.000, 0.000, 0.700) x2

Values from the calculation:
Energy above the most stable polymorph in this dataset: 52 meV per atom
Density of states at the Fermi level: 2.00 states/eV per cell
Energy of formation from the pure elements: -0.6 eV/f.u.
Calculated volume: 185 Å³ per cell